Here is an optimized crystal structure of Mn2Ga3Fe from Alexandria via LeMat-Bulk. Energies are from PBE.

Calculated values
**E**: -146.14 eV per cell
**Crystal system**: monoclinic
**DFT formation energy**: -0.109 eV/atom
**M_tot**: 7.0 μB per formula unit

Structure (CIF):
```
data_Mn2Ga3Fe
_chemical_formula_sum 'Mn8 Ga12 Fe4'
_symmetry_space_group_name_H-M 'P 1 21/c 1'
_symmetry_Int_Tables_number 14
_cell_length_a 5.275
_cell_length_b 11.366
_cell_length_c 7.356
_cell_angle_alpha 90.00
_cell_angle_beta 134.07
_cell_angle_gamma 90.00
loop_
_symmetry_equiv_pos_as_xyz
'x,y,z'
'-x,-y,-z'
'-x,y+1/2,-z+1/2'
'x,-y+1/2,z+1/2'
loop_
_atom_site_label
_atom_site_fract_x
_atom_site_fract_y
_atom_site_fract_z
Mn1 0.246 0.082 0.373
Mn2 0.250 0.749 0.875
Ga1 0.250 0.250 0.125
Ga2 0.251 0.583 0.125
Ga3 0.251 0.583 0.626
Fe1 0.252 0.082 0.876
```